Here is an optimized crystal structure of ZnCuP from Alexandria. Energies are from PBE-GGA.

abc: 5.943 5.943 5.943
angles: 153.24 153.24 38.20
Fractional positions:
1 Cu 0.997 0.997 0.000
2 P 0.348 0.348 0.000
3 Zn 0.656 0.656 0.000

Values from the calculation:
**DOS(E_F)**: 0.3135 states/eV per atom
**Energy relative to the elements**: 0.222 eV per atom
**Symmetry**: No. 107
**Theoretical density**: 6.25 g/cm3
**Volume**: 14.162 A^3/atom
**Final energy**: -3.372 eV per atom

***

Here is an optimized crystal structure of Na8In2Pb from Alexandria. Energies are from PBE-GGA.

abc: 5.730 8.541 8.541
angles: 87.99 80.63 80.63
Fractional positions:
1 Na 0.794 0.147 0.666
2 Na 0.206 0.334 0.853
3 Na 0.876 0.266 0.266
4 Na 0.124 0.734 0.734
5 Na 0.794 0.666 0.147
6 Na 0.206 0.853 0.334
7 Na 0.299 0.410 0.410
8 Na 0.701 0.590 0.590
9 In 0.456 0.129 0.129
10 In 0.544 0.871 0.871
11 Pb 0.000 0.000 0.000

Values from the calculation:
**ΔE to the lowest computed polymorph**: 49 meV/atom
**DOS(E_F)**: 0.3529 states/eV per atom
**Energy relative to the elements**: 0.036 eV per atom
**Symmetry**: No. 12
**Theoretical density**: 2.53 g/cm3
**Volume**: 36.989 A^3/atom
**Final energy**: -1.758 eV per atom

***

Here is an optimized crystal structure of Y2Mg3Cu2 from Alexandria. Energies are from PBE-GGA.

abc: 8.085 8.085 15.696
angles: 51.59 51.59 22.99
Fractional positions:
1 Y 0.940 0.940 0.274
2 Y 0.060 0.060 0.726
3 Y 0.597 0.597 0.337
4 Y 0.403 0.403 0.663
5 Mg 0.883 0.883 0.104
6 Mg 0.117 0.117 0.896
7 Mg 0.798 0.798 0.896
8 Mg 0.202 0.202 0.104
9 Mg 0.676 0.676 0.482
10 Mg 0.324 0.324 0.518
11 Cu 0.724 0.724 0.713
12 Cu 0.276 0.276 0.287
13 Cu 0.571 0.571 0.070
14 Cu 0.429 0.429 0.930

Values from the calculation:
**ΔE to the lowest computed polymorph**: 161 meV/atom
**DOS(E_F)**: 0.6028 states/eV per atom
**Energy relative to the elements**: -0.016 eV per atom
**Symmetry**: No. 12
**Theoretical density**: 4.05 g/cm3
**Volume**: 22.129 A^3/atom
**Final energy**: -3.717 eV per atom

***

Here is an optimized crystal structure of Pm2Pr3Pd2 from Alexandria. Energies are from PBE-GGA.

abc: 3.907 6.594 9.291
angles: 113.57 90.00 107.23
Fractional positions:
1 Pm 0.841 0.681 0.190
2 Pm 0.159 0.319 0.810
3 Pr 0.500 0.000 0.000
4 Pr 0.615 0.231 0.440
5 Pr 0.385 0.769 0.560
6 Pd 0.833 0.665 0.774
7 Pd 0.167 0.335 0.226

Values from the calculation:
**DOS(E_F)**: 1.2495 states/eV per atom
**Energy relative to the elements**: -0.438 eV per atom
**Symmetry**: No. 12
**Theoretical density**: 7.40 g/cm3
**Volume**: 29.659 A^3/atom
**Final energy**: -5.327 eV per atom

***

Here is an optimized crystal structure of MgB3Ir from Alexandria. Energies are from PBE-GGA.

abc: 4.148 4.148 4.148
angles: 90.00 90.00 90.00
Fractional positions:
1 Mg 0.500 0.500 0.500
2 Ir 0.000 0.000 0.000
3 B 0.000 0.500 0.000
4 B 0.000 0.000 0.500
5 B 0.500 0.000 0.000

Values from the calculation:
**ΔE to the lowest computed polymorph**: 0 meV/atom
**DOS(E_F)**: 0.7003 states/eV per atom
**Energy relative to the elements**: 0.853 eV per atom
**Symmetry**: No. 221
**Theoretical density**: 5.79 g/cm3
**Volume**: 14.270 A^3/atom
**Final energy**: -5.244 eV per atom

***

Here is an optimized crystal structure of MgRuRh2 from Alexandria. Energies are from PBE-GGA.

abc: 2.791 2.791 7.552
angles: 90.00 90.00 90.00
Fractional positions:
1 Ru 0.500 0.500 0.000
2 Mg 0.500 0.500 0.500
3 Rh 0.000 0.000 0.761
4 Rh 0.000 0.000 0.239

Values from the calculation:
**DOS(E_F)**: 0.8499 states/eV per atom
**Energy relative to the elements**: -0.163 eV per atom
**Symmetry**: No. 123
**Theoretical density**: 9.35 g/cm3
**Volume**: 14.706 A^3/atom
**Final energy**: -6.557 eV per atom

***

Here is an optimized crystal structure of PaTcSb2N from Alexandria. Energies are from PBE-GGA.

abc: 3.732 3.732 15.494
angles: 90.00 90.00 90.00
Fractional positions:
1 Pa 0.500 0.000 0.581
2 Pa 0.000 0.500 0.419
3 Tc 0.500 0.000 0.118
4 Tc 0.000 0.500 0.882
5 Sb 0.000 0.500 0.711
6 Sb 0.000 0.500 0.064
7 Sb 0.500 0.000 0.936
8 Sb 0.500 0.000 0.289
9 N 0.000 0.000 0.500
10 N 0.500 0.500 0.500

Values from the calculation:
**DOS(E_F)**: 0.7451 states/eV per atom
**Formation energy (no corrections)**: -0.54 eV per atom
**Symmetry**: No. 129
**Theoretical density**: 9.03 g/cm3
**Volume**: 21.583 A^3/atom
**Final energy**: -7.825 eV per atom

***

Here is an optimized crystal structure of GeOs2RhI from Alexandria. Energies are from PBE-GGA.

abc: 4.646 4.583 4.646
angles: 90.00 90.00 90.00
Fractional positions:
1 I 0.500 0.500 0.500
2 Rh 0.000 0.500 0.000
3 Ge 0.000 0.000 0.000
4 Os 0.000 0.000 0.500
5 Os 0.500 0.000 0.000

Values from the calculation:
**DOS(E_F)**: 2.0019 states/eV per atom
**Formation energy (no corrections)**: 1.59 eV per atom
**Symmetry**: No. 123
**Theoretical density**: 11.46 g/cm3
**Volume**: 19.787 A^3/atom
**Final energy**: -5.602 eV per atom

***

> Among the records above, which one has the lowest DOS(E_F)?

ZnCuP